Entry 1:
Computed, not measured: a relaxed structure of AcSm2Pt at the PBE level of DFT.

Properties
electronic total energy	-20.998	eV for the cell shown
Fermi-level density of states	6.6	states/eV/cell
ΔE to the lowest computed polymorph	0.2764	eV per atom
calculated formation energy	-0.353	eV/atom
spin magnetization	0.00	μB/f.u.

Cell: 3.963 3.963 11.118 Å, 79.73 79.73 60.00°
Sites, in units of the cell vectors:
Ac: 0.000 0.000 0.000
Sm: 0.885 0.885 0.345
Sm: 0.115 0.115 0.655
Pt: 0.500 0.500 0.500

***

Entry 2:
Computed, not measured: a relaxed structure of PmDyZnIn at the PBE level of DFT.

Properties
electronic total energy	-14.934	eV for the cell shown
Fermi-level density of states	4.0	states/eV/cell
ΔE to the lowest computed polymorph	0.0226	eV per atom
calculated formation energy	-0.392	eV/atom
spin magnetization	0.00	μB/f.u.

Cell: 5.272 5.272 5.272 Å, 60.00 60.00 60.00°
Sites, in units of the cell vectors:
Zn: 0.000 0.000 0.000
Dy: 0.750 0.750 0.750
Pm: 0.250 0.250 0.250
In: 0.500 0.500 0.500

***

Entry 3:
Computed, not measured: a relaxed structure of La3HgN at the PBE level of DFT.

Properties
electronic total energy	-54.779	eV for the cell shown
Fermi-level density of states	9.2	states/eV/cell
formation energy (no corrections)	-796	meV per atom
spin magnetization	0.00	μB/f.u.

Cell: 7.187 5.162 7.187 Å, 90.00 90.00 90.00°
Sites, in units of the cell vectors:
Hg: 0.025 0.750 0.950
Hg: 0.525 0.750 0.450
N: 0.525 0.250 0.950
N: 0.025 0.250 0.450
La: 0.525 0.750 0.950
La: 0.243 0.250 0.732
La: 0.306 0.250 0.232
La: 0.743 0.250 0.669
La: 0.025 0.750 0.450
La: 0.806 0.250 0.169

***

Entry 4:
Computed, not measured: a relaxed structure of Tm2TeSe at the PBE level of DFT.

Properties
electronic total energy	-21.309	eV for the cell shown
Fermi-level density of states	1.3	states/eV/cell
formation energy (no corrections)	-1435	meV per atom
ΔE to the lowest computed polymorph	0.0363	eV per atom
spin magnetization	0.00	μB/f.u.

Cell: 4.155 4.155 7.246 Å, 73.34 73.34 60.00°
Sites, in units of the cell vectors:
Te: 0.500 0.500 0.500
Tm: 0.263 0.263 0.212
Tm: 0.737 0.737 0.788
Se: 0.000 0.000 0.000

***

no.,V (A^3/atom)
1,37.00
2,25.90
3,26.66
4,25.55